# PaCr3O12 | Alexandria via LeMat-Bulk | GGA+U | relaxed
# **Magnetic moment**: 0.070 μB/atom
# **Raw total energy**: -115.1 eV per formula unit
# **Density of states at the Fermi level**: 0.597 states/eV/atom
# **Volume**: 17.04 Å³/atom
# **Theoretical density**: 3527 kg/m3
data_PaCr3O12
_cell_length_a 8.5817
_cell_length_b 8.5817
_cell_length_c 25.6479
_cell_angle_alpha 90.00
_cell_angle_beta 90.00
_cell_angle_gamma 120.00
_space_group_name_H-M_alt 'R 3 c'
_space_group_IT_number 161
_space_group_name_Hall 'R 3 -2"c'
loop_
_atom_site_label
_atom_site_type_symbol
_atom_site_fract_x
_atom_site_fract_y
_atom_site_fract_z
Pa1 Pa 0.0000 0.0000 0.0000
Cr1 Cr 0.0380 0.3418 0.0600
O1 O 0.1447 0.3367 0.0064
O2 O 0.1816 0.4079 0.3813
O3 O 0.1892 0.4463 0.1102
O4 O 0.2151 0.4488 0.7341